# Nb2AlNiF (PBE with a Hubbard U, relaxed)
# Magnetic moment, μB per formula unit: 0.00
# Calculated total energy, eV/atom: -5.52
data_Nb2AlNiF
_cell_length_a 4.199
_cell_length_b 4.199
_cell_length_c 4.268
_cell_angle_alpha 90.00
_cell_angle_beta 90.00
_cell_angle_gamma 90.00
_symmetry_space_group_name_H-M 'P 4/m m m'
_symmetry_Int_Tables_number 123
_symmetry_space_group_name_Hall '-P 4 2'
loop_
_atom_site_label
_atom_site_type_symbol
_atom_site_fract_x
_atom_site_fract_y
_atom_site_fract_z
Nb1 Nb 0.000 0.500 0.000
Al1 Al 0.000 0.000 0.500
Ni1 Ni 0.500 0.500 0.500
F1 F 0.500 0.500 0.000